Entry from Alexandria: an optimized crystal structure of Er2BeGaNi6 (PBE).

Results
* size of the total moment: 0.000 μB per atom
* mass density: 8.47 g cm⁻³
* volume: 15.01 A^3/atom
* E_tot: -5.224 eV/atom

a b c (Å): 8.4367 8.4367 8.4367
angles (deg): 90.00 90.00 90.00
Space group Fm-3m (No. 225)
Inequivalent atoms, fractional coordinates:
Er 0.2500 0.2500 0.2500 x8
Be 0.0000 0.0000 0.0000 x4
Ga 0.0000 0.0000 0.5000 x4
Ni 0.0000 0.0000 0.2330 x24


Entry from Alexandria: an optimized crystal structure of Ta2AgHg (PBE).

Results
* size of the total moment: 0.000 μB per atom
* mass density: 14.66 g cm⁻³
* volume: 18.98 A^3/atom
* E_tot: -6.293 eV/atom

a b c (Å): 3.0344 5.1075 9.7963
angles (deg): 90.00 90.00 90.00
Space group Imm2 (No. 44)
Inequivalent atoms, fractional coordinates:
Ta 0.0000 0.0000 0.0000 x2
Ta 0.0000 0.5000 0.2640 x2
Ag 0.0000 0.5000 0.7512 x2
Hg 0.0000 0.0000 0.5019 x2


Entry from Alexandria: an optimized crystal structure of ZnSn3Pd (PBE).

Results
* size of the total moment: 0.000 μB per atom
* mass density: 6.51 g cm⁻³
* volume: 26.95 A^3/atom
* E_tot: -3.182 eV/atom

a b c (Å): 5.1266 5.1266 5.1266
angles (deg): 90.00 90.00 90.00
Space group Pm-3m (No. 221)
Inequivalent atoms, fractional coordinates:
Zn 0.0000 0.0000 0.0000 x1
Sn 0.0000 0.0000 0.5000 x3
Pd 0.5000 0.5000 0.5000 x1